Record 1
A relaxed SiTcTe2 crystal, computed with GGA-PBE.

Calculated values
VASP energy (eV for the cell shown): -19.62
Density of states at the Fermi level (states/eV/f.u.): 4.097
Formation energy without anion corrections (eV per atom): 0.612

Cell: 4.8688 4.8688 4.8688 Å, 110.71 110.71 107.01°
Closest atoms and distances in Å follow each position.
Sites, in units of the cell vectors:
Si (0.0000, 0.0000, 0.0000)  4 Te 2.77, 2 Tc 2.90
Tc (0.5000, 0.5000, 0.0000)  4 Te 2.77, 2 Si 2.90
Te (0.0000, 0.5000, 0.5000)  2 Tc 2.77, 2 Si 2.77, 2 Te 2.90
Te (0.5000, 0.0000, 0.5000)  2 Tc 2.77, 2 Si 2.77, 2 Te 2.90

***

Record 2
A relaxed SiTcTe2 crystal, computed with GGA-PBE.

Calculated values
VASP energy (eV for the cell shown): -20.40
Density of states at the Fermi level (states/eV/f.u.): 2.596
Formation energy without anion corrections (eV per atom): 0.417

Cell: 8.7308 8.7308 8.7308 Å, 22.51 22.51 22.51°
Closest atoms and distances in Å follow each position.
Sites, in units of the cell vectors:
Si (0.0000, 0.0000, 0.0000)  6 Te 3.06, 6 Si 3.41
Tc (0.5000, 0.5000, 0.5000)  6 Te 2.74
Te (0.2414, 0.2414, 0.2414)  3 Tc 2.74, 3 Si 3.06
Te (0.7586, 0.7586, 0.7586)  3 Tc 2.74, 3 Si 3.06

***

Record 3
A relaxed Si3TcTe crystal, computed with GGA-PBE.

Calculated values
VASP energy (eV for the cell shown): -19.87
Density of states at the Fermi level (states/eV/f.u.): 5.122
Formation energy without anion corrections (eV per atom): 1.981

Cell: 5.0689 5.0689 5.0689 Å, 90.00 90.00 90.00°
Closest atoms and distances in Å follow each position.
Sites, in units of the cell vectors:
Si (0.0000, 0.0000, 0.5000)  2 Te 2.53
Si (0.0000, 0.5000, 0.0000)  2 Te 2.53
Si (0.5000, 0.0000, 0.0000)  2 Te 2.53
Tc (0.5000, 0.5000, 0.5000)  12 Si 3.58
Te (0.0000, 0.0000, 0.0000)  6 Si 2.53